Entry 1:
Below is a geometry-optimized Li4Ho3TiS8 structure, with properties calculated at the GGA-PBE level.

Its density is 4452 kg/m3. For the total energy, the calculation gives -5.599 eV/atom. As for the space group: R-3m, No. 166. For the uncorrected formation energy, the calculation gives -1.71 eV per atom. The volume comes out at 19.28 A^3/atom.

```
Li4Ho3TiS8
1.0
7.6095 0.0000 0.0000
0.0000 7.5579 -0.0434
-3.8047 -3.8006 5.3843
Li S Ho Ti
4 8 3 1
direct
0.0000 0.0000 0.5000
0.5000 0.0000 0.5000
0.0000 0.0000 0.0000
0.5000 0.0000 0.0000
0.7514 0.7541 0.5028
0.7610 0.2561 0.9950
0.2341 0.2561 0.9950
0.2390 0.7439 0.4781
0.7610 0.2561 0.5219
0.2486 0.2459 0.4972
0.2390 0.7439 0.0050
0.7659 0.7439 0.0050
0.0000 0.5000 0.5000
0.5000 0.5000 0.5000
0.5000 0.5000 0.0000
0.0000 0.5000 0.0000
```

=====

Entry 2:
Below is a geometry-optimized Sm4ErTh3S8 structure, with properties calculated at the GGA-PBE level.

Its density is 7867 kg/m3. For the total energy, the calculation gives -6.855 eV/atom. As for the space group: R-3m, No. 166. For the uncorrected formation energy, the calculation gives -1.94 eV per atom. The volume comes out at 22.71 A^3/atom.

```
Sm4ErTh3S8
1.0
-3.0550 -4.2167 6.0558
-4.6962 -3.9927 -5.1492
7.9005 0.1817 -1.1544
Sm S Th Er
4 8 3 1
direct
0.0000 0.0000 0.0000
0.0000 0.0000 0.5000
0.5000 0.0000 0.0000
0.5000 0.0000 0.5000
0.7547 0.2516 0.9969
0.2453 0.7484 0.0031
0.7547 0.2516 0.5094
0.2422 0.2516 0.9969
0.7519 0.7558 0.5038
0.7578 0.7484 0.0031
0.2453 0.7484 0.4906
0.2481 0.2442 0.4962
0.5000 0.5000 0.5000
0.5000 0.5000 0.0000
0.0000 0.5000 0.5000
0.0000 0.5000 0.0000
```

=====

Entry 3:
Below is a geometry-optimized YCdRu structure, with properties calculated at the GGA-PBE level.

Its density is 8027 kg/m3. For the total energy, the calculation gives -5.671 eV/atom. As for the space group: I4mm, No. 107. The volume comes out at 20.85 A^3/atom.

```
YCdRu
1.0
5.6633 -0.0133 0.0148
4.5866 3.3221 0.0146
1.0767 0.3478 3.3172
Y Cd Ru
1 1 1
direct
0.6842 0.6843 0.3157
0.9810 0.9809 0.0191
0.3347 0.3348 0.6652
```

=====

Entry 4:
Below is a geometry-optimized CeHfMgRe structure, with properties calculated at the GGA-PBE level.

Its density is 10516 kg/m3. For the total energy, the calculation gives -7.389 eV/atom. As for the space group: F-43m, No. 216. The volume comes out at 20.89 A^3/atom.

```
CeHfMgRe
1.0
4.9071 0.0000 0.0000
2.4535 4.2496 0.0000
2.4535 1.4165 4.0066
Mg Re Ce Hf
1 1 1 1
direct
0.0000 0.0000 0.0000
0.5000 0.5000 0.5000
0.2500 0.2500 0.2500
0.7500 0.7500 0.7500
```

=====

Entry 5:
Below is a geometry-optimized Ca3SiPb structure, with properties calculated at the GGA-PBE level.

Its density is 3348 kg/m3. For the total energy, the calculation gives -3.259 eV/atom. As for the space group: Pm-3m, No. 221. For the uncorrected formation energy, the calculation gives -0.23 eV per atom. The volume comes out at 35.26 A^3/atom.

```
Ca3SiPb
1.0
5.6075 0.0000 0.0000
0.0000 5.6075 0.0000
0.0000 0.0000 5.6075
Ca Si Pb
3 1 1
direct
0.0000 0.5000 0.0000
0.5000 0.0000 0.0000
0.0000 0.0000 0.5000
0.0000 0.0000 0.0000
0.5000 0.5000 0.5000
```

=====

Entry 6:
Below is a geometry-optimized PuSc2As3 structure, with properties calculated at the GGA-PBE level.

Its density is 7002 kg/m3. For the total energy, the calculation gives -8.048 eV/atom. As for the space group: Pnma, No. 62. The volume comes out at 22.08 A^3/atom.

```
PuSc2As3
1.0
5.6293 -0.0088 0.0000
0.0127 7.9244 0.0000
0.0000 0.0000 11.8799
As Sc Pu
12 8 4
direct
0.7499 0.3824 0.0869
0.2503 0.1324 0.9134
0.2496 0.1241 0.2491
0.7497 0.8676 0.0866
0.2503 0.6324 0.5866
0.2501 0.6176 0.9131
0.7497 0.3676 0.4134
0.2501 0.1176 0.5869
0.7499 0.8824 0.4131
0.7504 0.3759 0.7491
0.2496 0.6241 0.2509
0.7504 0.8759 0.7509
0.7496 0.6253 0.2527
0.2499 0.8779 0.4158
0.2504 0.8747 0.7527
0.7501 0.1221 0.5842
0.7496 0.1253 0.2473
0.2504 0.3747 0.7473
0.2499 0.3779 0.0842
0.7501 0.6221 0.9158
0.2497 0.8718 0.0807
0.7503 0.1282 0.9193
0.2497 0.3718 0.4193
0.7503 0.6282 0.5807
```

=====

Entry 7:
Below is a geometry-optimized Ac2Si4SnPd3 structure, with properties calculated at the GGA-PBE level.

Its density is 8153 kg/m3. For the total energy, the calculation gives -5.663 eV/atom. As for the space group: P-4m2, No. 115. For the uncorrected formation energy, the calculation gives -0.71 eV per atom. The volume comes out at 20.46 A^3/atom.

```
Ac2Si4SnPd3
1.0
4.3953 0.0000 0.0000
0.0000 4.3953 0.0000
0.0000 0.0000 10.5889
Sn Si Pd Ac
1 4 3 2
direct
0.5000 0.5000 0.5000
0.0000 0.5000 0.3489
0.5000 0.5000 0.0000
0.5000 0.0000 0.6511
0.0000 0.0000 0.0000
0.0000 0.0000 0.5000
0.5000 0.0000 0.8848
0.0000 0.5000 0.1152
0.0000 0.5000 0.7638
0.5000 0.0000 0.2362
```